Below is a geometry-optimized Sr2ZrCdPb structure, with properties calculated at the PBE level.

a = 6.296 Å, b = 5.600 Å, c = 6.296 Å
α = 90.00°, β = 90.00°, γ = 90.00°
Fractional positions:
Cd  0.500  0.500  0.500
Pb  0.000  0.000  0.000
Sr  0.500  0.000  0.000
Sr  0.000  0.000  0.500
Zr  0.000  0.500  0.000

Computed properties:
The symmetry is P4/mmm (123). The crystal system is tetragonal. The value obtained for the calculated volume is 222.0 Å³/f.u. As for the formation energy: 0.391 eV/atom. The spin magnetization is 2.052 μB/f.u.